Below is a PBEsol-optimized structure of Ba2HfS4, with properties calculated at the SCAN level.

Structure (POSCAR):
```
Ba2HfS4
1.0
-2.8751 3.9588 0.2179
-1.2411 -1.1543 4.5949
8.0670 2.8142 0.2759
S Hf Ba
4 1 2
Direct
0.5000 0.0000 0.0000
0.0000 0.5000 0.0000
0.1625 0.1625 0.3250
0.8375 0.8375 0.6750
0.0000 0.0000 0.0000
0.6418 0.6418 0.2835
0.3582 0.3582 0.7165
```

For the raw formation energy, the calculation gives -2196.8 meV per atom. The value obtained for the electronic total energy is -195.66 eV/cell.



Below is a PBEsol-optimized structure of BaHf2SeS, with properties calculated at the SCAN level.

Structure (POSCAR):
```
BaHf2SeS
1.0
4.6857 0.0000 0.0000
0.0000 4.6857 0.0000
0.0000 0.0000 6.6682
S Hf Ba Se
1 2 1 1
Direct
0.0000 0.0000 0.0000
0.0000 0.5000 0.0000
0.5000 0.0000 0.0000
0.5000 0.5000 0.5000
0.0000 0.0000 0.5000
```

For the raw formation energy, the calculation gives -330.3 meV per atom. The value obtained for the electronic total energy is -196.25 eV/cell.



Below is a PBEsol-optimized structure of Ba2HfTcS, with properties calculated at the SCAN level.

Structure (POSCAR):
```
Ba2HfTcS
1.0
-2.5283 -3.5235 -1.1478
3.0895 -3.5497 4.0910
-4.1215 1.5151 4.4272
S Hf Ba Tc
1 1 2 1
Direct
0.5000 0.5000 0.5000
0.0000 0.0000 0.0000
0.0000 0.0000 0.5000
0.0000 0.5000 0.0000
0.5000 0.0000 0.0000
```

For the raw formation energy, the calculation gives 518.5 meV per atom. The value obtained for the electronic total energy is -183.87 eV/cell.



Below is a PBEsol-optimized structure of BaHfSb2Te, with properties calculated at the SCAN level.

Structure (POSCAR):
```
BaHfSb2Te
1.0
5.4664 0.0000 0.0000
0.0000 5.4664 0.0000
0.0000 0.0000 5.6443
Sb Te Hf Ba
2 1 1 1
Direct
0.0000 0.5000 0.0000
0.5000 0.0000 0.0000
0.0000 0.0000 0.5000
0.0000 0.0000 0.0000
0.5000 0.5000 0.5000
```

For the raw formation energy, the calculation gives -671.7 meV per atom. The value obtained for the electronic total energy is -217.35 eV/cell.



Below is a PBEsol-optimized structure of BaHf2TiSn, with properties calculated at the SCAN level.

Structure (POSCAR):
```
BaHf2TiSn
1.0
-1.8718 -2.3944 -4.3320
2.5272 -4.4446 1.3647
-4.9120 -1.8306 3.1342
Ti Hf Ba Sn
1 2 1 1
Direct
0.5000 0.5000 0.5000
0.0000 0.5000 0.0000
0.5000 0.0000 0.0000
0.0000 0.0000 0.5000
0.0000 0.0000 0.0000
```

The formation enthalpy at 0 K is 1.205 eV/atom. The value obtained for the electronic total energy is -210.82 eV/cell.



Below is a PBEsol-optimized structure of Ba2HfZrSn, with properties calculated at the SCAN level.

Structure (POSCAR):
```
Ba2HfZrSn
1.0
5.4440 0.0000 0.0000
0.0000 5.9303 0.0000
0.0000 0.0000 5.9303
Hf Ba Zr Sn
1 2 1 1
Direct
0.0000 0.0000 0.0000
0.0000 0.0000 0.5000
0.0000 0.5000 0.0000
0.5000 0.5000 0.5000
0.5000 0.0000 0.0000
```

The formation enthalpy at 0 K is 1.014 eV/atom. The value obtained for the electronic total energy is -203.33 eV/cell.